Compound: CrNiCl
Source: Alexandria via LeMat-Bulk
Functional: PBE-GGA
Structure: optimized geometry

Properties
Mass density, g/cm3: 5.2
M_tot, μB per cell: 1.5
Energy relative to the lowest polymorph listed for this composition, eV/atom: 0.199
Volume, Å³/f.u.: 47.03
Uncorrected energy, eV/f.u.: -16.2
SG: I4mm

Lattice parameters (Å, degrees): 6.3868 6.3854 2.7822 77.45 77.45 25.16
Fractional positions:
Ni 0.7101 0.7095 0.2899
Cl 0.9559 0.9562 0.0441
Cr 0.3338 0.3341 0.6662